[1]
AcTbHoLu: optimized geometry, PBE-GGA.

Computed properties:
DOS at the Fermi energy, states/eV per atom: 1.460
SG: F-43m
M_tot, μB per formula unit: 0.0
VASP energy, eV per atom: -4.34

a b c (Å): 8.185 8.185 8.185
angles (deg): 90.00 90.00 90.00
Element x y z (fractional)
1 Ac 0.000 0.000 0.000
2 Ac 0.000 0.500 0.500
3 Ac 0.500 0.000 0.500
4 Ac 0.500 0.500 0.000
5 Tb 0.000 0.000 0.500
6 Tb 0.000 0.500 0.000
7 Tb 0.500 0.000 0.000
8 Tb 0.500 0.500 0.500
9 Ho 0.250 0.250 0.250
10 Ho 0.250 0.750 0.750
11 Ho 0.750 0.250 0.750
12 Ho 0.750 0.750 0.250
13 Lu 0.250 0.250 0.750
14 Lu 0.250 0.750 0.250
15 Lu 0.750 0.250 0.250
16 Lu 0.750 0.750 0.750

=====

[2]
Sc2TlAuI: optimized geometry, PBE-GGA.

Computed properties:
DOS at the Fermi energy, states/eV per atom: 1.199
SG: P4/mmm
Uncorrected formation energy, eV per atom: 0.01
M_tot, μB per formula unit: 0.0

a b c (Å): 5.343 5.343 5.478
angles (deg): 90.00 90.00 90.00
Element x y z (fractional)
1 Sc 0.000 0.500 0.000
2 Sc 0.500 0.000 0.000
3 Tl 0.000 0.000 0.500
4 Au 0.000 0.000 0.000
5 I 0.500 0.500 0.500

=====

[3]
InAg2F6: optimized geometry, PBE-GGA.

Computed properties:
DOS at the Fermi energy, states/eV per atom: 0.537
SG: P4_2/mnm
Uncorrected formation energy, eV per atom: -1.72
M_tot, μB per formula unit: 1.1

a b c (Å): 5.158 5.158 10.796
angles (deg): 90.00 90.00 90.00
Element x y z (fractional)
1 In 0.000 0.000 0.000
2 In 0.500 0.500 0.500
3 Ag 0.000 0.000 0.335
4 Ag 0.000 0.000 0.665
5 Ag 0.500 0.500 0.165
6 Ag 0.500 0.500 0.835
7 F 0.191 0.191 0.151
8 F 0.191 0.191 0.849
9 F 0.215 0.215 0.500
10 F 0.285 0.715 0.000
11 F 0.309 0.691 0.349
12 F 0.309 0.691 0.651
13 F 0.691 0.309 0.349
14 F 0.691 0.309 0.651
15 F 0.715 0.285 0.000
16 F 0.785 0.785 0.500
17 F 0.809 0.809 0.151
18 F 0.809 0.809 0.849

=====

[4]
Mg15Cd2Ag2: optimized geometry, PBE-GGA.

Computed properties:
DOS at the Fermi energy, states/eV per atom: 0.501
SG: R-3m
M_tot, μB per formula unit: 0.0
VASP energy, eV per atom: -1.54

a b c (Å): 7.836 7.836 7.836
angles (deg): 79.04 79.04 79.04
Element x y z (fractional)
1 Mg 0.000 0.000 0.500
2 Mg 0.000 0.330 0.670
3 Mg 0.000 0.500 0.000
4 Mg 0.000 0.670 0.330
5 Mg 0.159 0.663 0.663
6 Mg 0.330 0.000 0.670
7 Mg 0.330 0.670 0.000
8 Mg 0.337 0.337 0.841
9 Mg 0.337 0.841 0.337
10 Mg 0.500 0.000 0.000
11 Mg 0.663 0.159 0.663
12 Mg 0.663 0.663 0.159
13 Mg 0.670 0.000 0.330
14 Mg 0.670 0.330 0.000
15 Mg 0.841 0.337 0.337
16 Cd 0.087 0.087 0.087
17 Cd 0.913 0.913 0.913
18 Ag 0.266 0.266 0.266
19 Ag 0.734 0.734 0.734

=====

[5]
SrErGaAu: optimized geometry, PBE-GGA.

Computed properties:
DOS at the Fermi energy, states/eV per atom: 1.009
SG: F-43m
M_tot, μB per formula unit: 0.0
VASP energy, eV per atom: -3.68

a b c (Å): 7.408 7.408 7.408
angles (deg): 90.00 90.00 90.00
Element x y z (fractional)
1 Sr 0.000 0.000 0.000
2 Sr 0.000 0.500 0.500
3 Sr 0.500 0.000 0.500
4 Sr 0.500 0.500 0.000
5 Er 0.000 0.000 0.500
6 Er 0.000 0.500 0.000
7 Er 0.500 0.000 0.000
8 Er 0.500 0.500 0.500
9 Ga 0.250 0.250 0.250
10 Ga 0.250 0.750 0.750
11 Ga 0.750 0.250 0.750
12 Ga 0.750 0.750 0.250
13 Au 0.250 0.250 0.750
14 Au 0.250 0.750 0.250
15 Au 0.750 0.250 0.250
16 Au 0.750 0.750 0.750

=====

[6]
InPdRh: optimized geometry, PBE-GGA.

Computed properties:
DOS at the Fermi energy, states/eV per atom: 0.980
SG: I4/mmm
M_tot, μB per formula unit: 0.0
VASP energy, eV per atom: -5.18

a b c (Å): 3.112 3.112 21.873
angles (deg): 90.00 90.00 90.00
Element x y z (fractional)
1 In 0.000 0.000 0.130
2 In 0.000 0.000 0.870
3 In 0.500 0.500 0.370
4 In 0.500 0.500 0.630
5 Pd 0.000 0.000 0.292
6 Pd 0.000 0.000 0.708
7 Pd 0.500 0.500 0.208
8 Pd 0.500 0.500 0.792
9 Rh 0.000 0.000 0.443
10 Rh 0.000 0.000 0.557
11 Rh 0.500 0.500 0.057
12 Rh 0.500 0.500 0.943